VASP calculation (GGA-PBE) on a geometry-optimized SnAsBr2F structure.

a = 5.4202 Å, b = 5.4202 Å, c = 5.5894 Å
α = 90.00°, β = 90.00°, γ = 90.00°
Element x y z (fractional)
Br 0.0000 0.5000 0.0000
Br 0.5000 0.0000 0.0000
F 0.5000 0.5000 0.5000
Sn 0.0000 0.0000 0.0000
As 0.0000 0.0000 0.5000

## Properties
**DOS(E_F)**: 8.062 states/eV per cell
**Theoretical density**: 3.77 g cm⁻³
**Formation energy (no corrections)**: 0.056 eV/atom



VASP calculation (GGA-PBE) on a geometry-optimized SnAsBr2F structure.

a = 5.6528 Å, b = 5.6528 Å, c = 3.9377 Å
α = 90.00°, β = 90.00°, γ = 90.00°
Element x y z (fractional)
Br 0.5000 0.0000 0.0000
Br 0.0000 0.5000 0.0000
Sn 0.5000 0.5000 0.5000
As 0.0000 0.0000 0.5000
F 0.0000 0.0000 0.0000

## Properties
**DOS(E_F)**: 2.520 states/eV per cell
**Theoretical density**: 4.92 g cm⁻³
**Formation energy (no corrections)**: -0.235 eV/atom



VASP calculation (GGA-PBE) on a geometry-optimized SrAs2BrF structure.

a = 4.4231 Å, b = 4.4231 Å, c = 6.2023 Å
α = 90.00°, β = 90.00°, γ = 90.00°
Element x y z (fractional)
Br 0.0000 0.0000 0.5000
Sr 0.5000 0.5000 0.5000
As 0.0000 0.5000 0.0000
As 0.5000 0.0000 0.0000
F 0.0000 0.0000 0.0000

## Properties
**DOS(E_F)**: 3.299 states/eV per cell
**Theoretical density**: 4.60 g cm⁻³
**Formation energy (no corrections)**: -0.755 eV/atom



VASP calculation (GGA-PBE) on a geometry-optimized TaAs2BrF structure.

a = 4.2926 Å, b = 4.2926 Å, c = 5.1260 Å
α = 90.00°, β = 90.00°, γ = 90.00°
Element x y z (fractional)
As 0.0000 0.5000 0.0000
As 0.5000 0.0000 0.0000
Ta 0.5000 0.5000 0.5000
Br 0.0000 0.0000 0.5000
F 0.0000 0.0000 0.0000

## Properties
**DOS(E_F)**: 4.377 states/eV per cell
**Theoretical density**: 7.55 g cm⁻³
**Formation energy (no corrections)**: 0.495 eV/atom



VASP calculation (GGA-PBE) on a geometry-optimized TaAs2BrF structure.

a = 4.9862 Å, b = 4.9862 Å, c = 5.0666 Å
α = 90.00°, β = 90.00°, γ = 90.00°
Element x y z (fractional)
F 0.5000 0.5000 0.5000
Ta 0.0000 0.0000 0.0000
Br 0.0000 0.0000 0.5000
As 0.0000 0.5000 0.0000
As 0.5000 0.0000 0.0000

## Properties
**DOS(E_F)**: 4.928 states/eV per cell
**Theoretical density**: 5.66 g cm⁻³
**Formation energy (no corrections)**: -0.037 eV/atom



VASP calculation (GGA-PBE) on a geometry-optimized Te2AsBrF structure.

a = 5.7581 Å, b = 3.9810 Å, c = 5.7581 Å
α = 90.00°, β = 90.00°, γ = 90.00°
Element x y z (fractional)
Te 0.0000 0.0000 0.5000
Te 0.5000 0.0000 0.0000
F 0.0000 0.5000 0.0000
As 0.0000 0.0000 0.0000
Br 0.5000 0.5000 0.5000

## Properties
**DOS(E_F)**: 4.834 states/eV per cell
**Theoretical density**: 5.40 g cm⁻³
**Formation energy (no corrections)**: -0.169 eV/atom



VASP calculation (GGA-PBE) on a geometry-optimized TeAsBr3F6 structure.

a = 10.6137 Å, b = 8.2050 Å, c = 12.5035 Å
α = 81.35°, β = 90.00°, γ = 90.00°
Element x y z (fractional)
F 0.6252 0.7736 0.0489
F 0.8748 0.7736 0.5489
F 0.2106 0.0933 0.2976
F 0.3083 0.3565 0.3410
F 0.3748 0.2264 0.9511
F 0.8083 0.6435 0.1590
F 0.5726 0.9106 0.6211
F 0.7106 0.9067 0.2024
F 0.2531 0.9596 0.9887
F 0.2894 0.0933 0.7976
F 0.9274 0.9106 0.1211
F 0.1917 0.3565 0.8410
F 0.7531 0.0404 0.5113
F 0.3428 0.2184 0.5340
F 0.8428 0.7816 0.9660
F 0.2469 0.9596 0.4887
F 0.7894 0.9067 0.7024
F 0.4274 0.0894 0.3789
F 0.6572 0.7816 0.4660
F 0.6917 0.6435 0.6590
F 0.0726 0.0894 0.8789
F 0.1252 0.2264 0.4511
F 0.1572 0.2184 0.0340
F 0.7469 0.0404 0.0113
Br 0.1109 0.7610 0.7334
Br 0.8617 0.4218 0.9109
Br 0.4368 0.6959 0.8599
Br 0.6109 0.2390 0.7666
Br 0.5632 0.3041 0.1401
Br 0.3617 0.5782 0.5891
Br 0.0632 0.6959 0.3599
Br 0.6383 0.4218 0.4109
Br 0.3891 0.7610 0.2334
Br 0.8891 0.2390 0.2666
Br 0.1383 0.5782 0.0891
Br 0.9368 0.3041 0.6401
As 0.2248 0.1624 0.9155
As 0.7248 0.8376 0.5845
As 0.2752 0.1624 0.4155
As 0.7752 0.8376 0.0845
Te 0.8356 0.1828 0.8118
Te 0.1644 0.8172 0.1882
Te 0.3356 0.8172 0.6882
Te 0.6644 0.1828 0.3118

## Properties
**DOS(E_F)**: 0.000 states/eV per cell
**Theoretical density**: 3.43 g cm⁻³
**Formation energy (no corrections)**: -1.518 eV/atom



VASP calculation (GGA-PBE) on a geometry-optimized TiAs2BrF structure.

a = 4.2813 Å, b = 4.2813 Å, c = 5.4217 Å
α = 90.00°, β = 90.00°, γ = 90.00°
Element x y z (fractional)
Br 0.0000 0.0000 0.5000
As 0.0000 0.5000 0.0000
As 0.5000 0.0000 0.0000
F 0.0000 0.0000 0.0000
Ti 0.5000 0.5000 0.5000

## Properties
**DOS(E_F)**: 4.480 states/eV per cell
**Theoretical density**: 4.96 g cm⁻³
**Formation energy (no corrections)**: 0.039 eV/atom



- Which of these has the highest theoretical density?
  number 4